Entry a
# Ca2TaCr (PBE-GGA, optimized geometry)
data_Ca2TaCr
_chemical_formula_sum 'Ca6 Ta3 Cr3'
_symmetry_space_group_name_H-M 'R -3 m'
_symmetry_Int_Tables_number 166
_symmetry_space_group_name_Hall '-R 3 2"'
_cell_length_a 3.2228
_cell_length_b 3.2228
_cell_length_c 32.5517
_cell_angle_alpha 90.00
_cell_angle_beta 90.00
_cell_angle_gamma 120.00
loop_
_atom_site_label
_atom_site_type_symbol
_atom_site_fract_x
_atom_site_fract_y
_atom_site_fract_z
Ca1 Ca 0.0000 0.0000 0.2487
Ta1 Ta 0.0000 0.0000 0.5000
Cr1 Cr 0.0000 0.0000 0.0000
# Total magnetic moment (μB per cell): 12.482

Entry b
# Ca2TaCr (PBE-GGA, optimized geometry)
data_Ca2TaCr
_chemical_formula_sum 'Ca2 Ta1 Cr1'
_symmetry_space_group_name_H-M 'P 4/m m m'
_symmetry_Int_Tables_number 123
_symmetry_space_group_name_Hall '-P 4 2'
_cell_length_a 5.626
_cell_length_b 5.626
_cell_length_c 3.204
_cell_angle_alpha 90.00
_cell_angle_beta 90.00
_cell_angle_gamma 90.00
loop_
_atom_site_label
_atom_site_type_symbol
_atom_site_fract_x
_atom_site_fract_y
_atom_site_fract_z
Ca1 Ca 0.000 0.500 0.000
Ta1 Ta 0.000 0.000 0.500
Cr1 Cr 0.500 0.500 0.500
# Total magnetic moment (μB per cell): 5.369

Entry c
# Ca2TaCr (PBE-GGA, optimized geometry)
data_Ca2TaCr
_chemical_formula_sum 'Ca8 Ta4 Cr4'
_symmetry_space_group_name_H-M 'F 2 2 2'
_symmetry_Int_Tables_number 22
_symmetry_space_group_name_Hall 'F 2 2'
_cell_length_a 7.159
_cell_length_b 7.166
_cell_length_c 7.213
_cell_angle_alpha 90.00
_cell_angle_beta 90.00
_cell_angle_gamma 90.00
loop_
_atom_site_label
_atom_site_type_symbol
_atom_site_fract_x
_atom_site_fract_y
_atom_site_fract_z
Ca1 Ca 0.000 0.000 0.000
Ca2 Ca 0.250 0.250 0.250
Ta1 Ta 0.000 0.000 0.500
Cr1 Cr 0.250 0.250 0.750
# Total magnetic moment (μB per cell): 7.930

Entry d
# Ca2TaCr (PBE-GGA, optimized geometry)
data_Ca2TaCr
_chemical_formula_sum 'Ca4 Ta2 Cr2'
_symmetry_space_group_name_H-M 'C 1 2/m 1'
_symmetry_Int_Tables_number 12
_cell_length_a 17.933
_cell_length_b 3.242
_cell_length_c 3.893
_cell_angle_alpha 90.00
_cell_angle_beta 102.51
_cell_angle_gamma 90.00
loop_
_symmetry_equiv_pos_as_xyz
'x,y,z'
'-x,-y,-z'
'-x,y,-z'
'x,-y,z'
'x+1/2,y+1/2,z'
'-x+1/2,-y+1/2,-z'
'-x+1/2,y+1/2,-z'
'x+1/2,-y+1/2,z'
loop_
_atom_site_label
_atom_site_type_symbol
_atom_site_fract_x
_atom_site_fract_y
_atom_site_fract_z
Ca1 Ca 0.158 0.000 0.157
Ta1 Ta 0.000 0.000 0.500
Cr1 Cr 0.000 0.500 0.000
# Total magnetic moment (μB per cell): 2.895

Which structure loses on stability? entry b does.

Entry a
# Ca2TaCr (PBE-GGA, optimized geometry)
data_Ca2TaCr
_chemical_formula_sum 'Ca4 Ta2 Cr2'
_symmetry_space_group_name_H-M 'I 4/m m m'
_symmetry_Int_Tables_number 139
_symmetry_space_group_name_Hall '-I 4 2'
_cell_length_a 4.305
_cell_length_b 4.305
_cell_length_c 10.124
_cell_angle_alpha 90.00
_cell_angle_beta 90.00
_cell_angle_gamma 90.00
loop_
_atom_site_label
_atom_site_type_symbol
_atom_site_fract_x
_atom_site_fract_y
_atom_site_fract_z
Ca1 Ca 0.000 0.500 0.250
Ta1 Ta 0.000 0.000 0.000
Cr1 Cr 0.000 0.000 0.500
# Total magnetic moment (μB per cell): 3.362

Entry b
# Ca2TaCr (PBE-GGA, optimized geometry)
data_Ca2TaCr
_chemical_formula_sum 'Ca2 Ta1 Cr1'
_symmetry_space_group_name_H-M 'P 1 m 1'
_symmetry_Int_Tables_number 6
_cell_length_a 3.391
_cell_length_b 3.399
_cell_length_c 8.690
_cell_angle_alpha 90.00
_cell_angle_beta 90.06
_cell_angle_gamma 90.00
loop_
_symmetry_equiv_pos_as_xyz
'x,y,z'
'x,-y,z'
loop_
_atom_site_label
_atom_site_type_symbol
_atom_site_fract_x
_atom_site_fract_y
_atom_site_fract_z
Ca1 Ca 0.000 0.000 0.000
Ca2 Ca 0.500 0.500 0.369
Ta1 Ta 0.000 0.000 0.638
Cr1 Cr 0.500 0.500 0.749
# Total magnetic moment (μB per cell): 0.839

Which structure loses on stability? entry a does.